(1)
First-principles (PBE-GGA) data for a relaxed structure of TlSCl4, as listed in Alexandria via LeMat-Bulk.

Summary:
The uncorrected formation energy is -351 meV/atom. Its total energy is -15.985 eV per formula unit. The value obtained for the total magnetization is 1.002 μB per cell.

CIF file:
```
data_TlSCl4
_cell_length_a 6.580
_cell_length_b 6.610
_cell_length_c 6.622
_cell_angle_alpha 113.41
_cell_angle_beta 104.57
_cell_angle_gamma 110.06
_symmetry_space_group_name_H-M 'P 1'
_symmetry_Int_Tables_number 1
loop_
_symmetry_equiv_pos_as_xyz
'x,y,z'
loop_
_atom_site_label
_atom_site_type_symbol
_atom_site_fract_x
_atom_site_fract_y
_atom_site_fract_z
Tl1 Tl 0.000 0.000 0.000
S1 S 0.716 0.502 0.217
Cl1 Cl 0.528 0.069 0.019
Cl2 Cl 0.529 0.507 0.464
Cl3 Cl 0.953 0.932 0.463
Cl4 Cl 0.957 0.495 0.023
```

***

(2)
First-principles (PBE-GGA) data for a relaxed structure of Tl4S3Cl, as listed in Alexandria via LeMat-Bulk.

Summary:
The uncorrected formation energy is -329 meV/atom. Its total energy is -26.324 eV per formula unit. The value obtained for the total magnetization is 0.000 μB per cell.

CIF file:
```
data_Tl4S3Cl
_cell_length_a 5.969
_cell_length_b 8.756
_cell_length_c 9.566
_cell_angle_alpha 90.00
_cell_angle_beta 90.00
_cell_angle_gamma 90.00
_symmetry_space_group_name_H-M 'P m m n'
_symmetry_Int_Tables_number 59
loop_
_symmetry_equiv_pos_as_xyz
'x,y,z'
'-x,-y,-z'
'-x+1/2,-y+1/2,z'
'x+1/2,y+1/2,-z'
'x+1/2,-y,-z'
'-x+1/2,y,z'
'-x,y+1/2,-z'
'x,-y+1/2,z'
loop_
_atom_site_label
_atom_site_type_symbol
_atom_site_fract_x
_atom_site_fract_y
_atom_site_fract_z
Tl1 Tl 0.250 0.059 0.140
Tl2 Tl 0.250 0.250 0.698
Tl3 Tl 0.250 0.750 0.608
S1 S 0.250 0.250 0.435
S2 S 0.250 0.505 0.826
Cl1 Cl 0.250 0.750 0.268
```

***

(3)
First-principles (PBE-GGA) data for a relaxed structure of Tl3SCl, as listed in Alexandria via LeMat-Bulk.

Summary:
Its energy above the most stable polymorph in this dataset is 0.000 eV/atom. The uncorrected formation energy is -563 meV/atom. Its total energy is -15.890 eV per formula unit. The value obtained for the total magnetization is 0.000 μB per cell.

CIF file:
```
data_Tl3SCl
_cell_length_a 4.210
_cell_length_b 6.665
_cell_length_c 12.369
_cell_angle_alpha 98.73
_cell_angle_beta 90.03
_cell_angle_gamma 108.41
_symmetry_space_group_name_H-M 'P -1'
_symmetry_Int_Tables_number 2
loop_
_symmetry_equiv_pos_as_xyz
'x,y,z'
'-x,-y,-z'
loop_
_atom_site_label
_atom_site_type_symbol
_atom_site_fract_x
_atom_site_fract_y
_atom_site_fract_z
Tl1 Tl 0.103 0.203 0.208
Tl2 Tl 0.133 0.264 0.604
Tl3 Tl 0.379 0.757 0.073
S1 S 0.250 0.500 0.850
Cl1 Cl 0.373 0.745 0.584
```

***

(4)
First-principles (PBE-GGA) data for a relaxed structure of TlS4Cl, as listed in Alexandria via LeMat-Bulk.

Summary:
The uncorrected formation energy is -112 meV/atom. Its total energy is -21.392 eV per formula unit. The value obtained for the total magnetization is 0.000 μB per cell.

CIF file:
```
data_TlS4Cl
_cell_length_a 4.009
_cell_length_b 5.203
_cell_length_c 9.280
_cell_angle_alpha 76.47
_cell_angle_beta 82.78
_cell_angle_gamma 88.92
_symmetry_space_group_name_H-M 'P 1'
_symmetry_Int_Tables_number 1
loop_
_symmetry_equiv_pos_as_xyz
'x,y,z'
loop_
_atom_site_label
_atom_site_type_symbol
_atom_site_fract_x
_atom_site_fract_y
_atom_site_fract_z
Tl1 Tl 0.000 0.000 0.000
S1 S 0.014 0.818 0.661
S2 S 0.426 0.866 0.524
S3 S 0.527 0.313 0.436
S4 S 0.938 0.344 0.298
Cl1 Cl 0.499 0.421 0.968
```

***

(5)
First-principles (PBE-GGA) data for a relaxed structure of TlS3Cl, as listed in Alexandria via LeMat-Bulk.

Summary:
Its energy above the most stable polymorph in this dataset is 0.000 eV/atom. The uncorrected formation energy is -343 meV/atom. Its total energy is -18.308 eV per formula unit. The value obtained for the total magnetization is 0.000 μB per cell.

CIF file:
```
data_TlS3Cl
_cell_length_a 4.420
_cell_length_b 9.139
_cell_length_c 9.300
_cell_angle_alpha 116.72
_cell_angle_beta 95.42
_cell_angle_gamma 91.36
_symmetry_space_group_name_H-M 'P -1'
_symmetry_Int_Tables_number 2
loop_
_symmetry_equiv_pos_as_xyz
'x,y,z'
'-x,-y,-z'
loop_
_atom_site_label
_atom_site_type_symbol
_atom_site_fract_x
_atom_site_fract_y
_atom_site_fract_z
Tl1 Tl 0.188 0.391 0.271
S1 S 0.047 0.896 0.216
S2 S 0.276 0.212 0.707
S3 S 0.352 0.718 0.116
Cl1 Cl 0.286 0.705 0.575
```

***

(6)
First-principles (PBE-GGA) data for a relaxed structure of Tl5S2Cl5, as listed in Alexandria via LeMat-Bulk.

Summary:
The uncorrected formation energy is -589 meV/atom. Its total energy is -36.386 eV per formula unit. The value obtained for the total magnetization is 0.000 μB per cell.

CIF file:
```
data_Tl5S2Cl5
_cell_length_a 14.287
_cell_length_b 4.318
_cell_length_c 11.996
_cell_angle_alpha 90.00
_cell_angle_beta 104.01
_cell_angle_gamma 90.00
_symmetry_space_group_name_H-M 'C 1 2/m 1'
_symmetry_Int_Tables_number 12
loop_
_symmetry_equiv_pos_as_xyz
'x,y,z'
'-x,-y,-z'
'-x,y,-z'
'x,-y,z'
'x+1/2,y+1/2,z'
'-x+1/2,-y+1/2,-z'
'-x+1/2,y+1/2,-z'
'x+1/2,-y+1/2,z'
loop_
_atom_site_label
_atom_site_type_symbol
_atom_site_fract_x
_atom_site_fract_y
_atom_site_fract_z
Tl1 Tl 0.000 0.000 0.000
Tl2 Tl 0.108 0.000 0.403
Tl3 Tl 0.184 0.500 0.813
S1 S 0.031 0.000 0.806
Cl1 Cl 0.000 0.500 0.500
Cl2 Cl 0.146 0.500 0.057
Cl3 Cl 0.240 0.500 0.374
```

***

(7)
First-principles (PBE-GGA) data for a relaxed structure of TlS5Cl, as listed in Alexandria via LeMat-Bulk.

Summary:
The uncorrected formation energy is -141 meV/atom. Its total energy is -25.840 eV per formula unit. The value obtained for the total magnetization is 0.000 μB per cell.

CIF file:
```
data_TlS5Cl
_cell_length_a 8.775
_cell_length_b 18.963
_cell_length_c 7.047
_cell_angle_alpha 90.00
_cell_angle_beta 126.84
_cell_angle_gamma 90.00
_symmetry_space_group_name_H-M 'C 1 2/c 1'
_symmetry_Int_Tables_number 15
loop_
_symmetry_equiv_pos_as_xyz
'x,y,z'
'-x,-y,-z'
'-x,y,-z+1/2'
'x,-y,z+1/2'
'x+1/2,y+1/2,z'
'-x+1/2,-y+1/2,-z'
'-x+1/2,y+1/2,-z+1/2'
'x+1/2,-y+1/2,z+1/2'
loop_
_atom_site_label
_atom_site_type_symbol
_atom_site_fract_x
_atom_site_fract_y
_atom_site_fract_z
Tl1 Tl 0.000 0.139 0.250
S1 S 0.000 0.139 0.750
S2 S 0.044 0.365 0.928
S3 S 0.231 0.070 0.857
Cl1 Cl 0.250 0.250 0.500
```

***

(8)
First-principles (PBE-GGA) data for a relaxed structure of TlSCl, as listed in Alexandria via LeMat-Bulk.

Summary:
The uncorrected formation energy is -494 meV/atom. Its total energy is -9.824 eV per formula unit. The value obtained for the total magnetization is 3.989 μB per cell.

CIF file:
```
data_TlSCl
_cell_length_a 6.396
_cell_length_b 6.377
_cell_length_c 11.026
_cell_angle_alpha 90.00
_cell_angle_beta 92.11
_cell_angle_gamma 90.00
_symmetry_space_group_name_H-M 'C 1 2/m 1'
_symmetry_Int_Tables_number 12
loop_
_symmetry_equiv_pos_as_xyz
'x,y,z'
'-x,-y,-z'
'-x,y,-z'
'x,-y,z'
'x+1/2,y+1/2,z'
'-x+1/2,-y+1/2,-z'
'-x+1/2,y+1/2,-z'
'x+1/2,-y+1/2,z'
loop_
_atom_site_label
_atom_site_type_symbol
_atom_site_fract_x
_atom_site_fract_y
_atom_site_fract_z
Tl1 Tl 0.243 0.000 0.347
S1 S 0.075 0.000 0.927
Cl1 Cl 0.242 0.500 0.380
```

***

(9)
First-principles (PBE-GGA) data for a relaxed structure of TlS6Cl, as listed in Alexandria via LeMat-Bulk.

Summary:
The uncorrected formation energy is -124 meV/atom. Its total energy is -29.969 eV per formula unit. The value obtained for the total magnetization is 0.000 μB per cell.

CIF file:
```
data_TlS6Cl
_cell_length_a 14.390
_cell_length_b 7.513
_cell_length_c 5.942
_cell_angle_alpha 90.00
_cell_angle_beta 97.97
_cell_angle_gamma 90.00
_symmetry_space_group_name_H-M 'C 1 2/m 1'
_symmetry_Int_Tables_number 12
loop_
_symmetry_equiv_pos_as_xyz
'x,y,z'
'-x,-y,-z'
'-x,y,-z'
'x,-y,z'
'x+1/2,y+1/2,z'
'-x+1/2,-y+1/2,-z'
'-x+1/2,y+1/2,-z'
'x+1/2,-y+1/2,z'
loop_
_atom_site_label
_atom_site_type_symbol
_atom_site_fract_x
_atom_site_fract_y
_atom_site_fract_z
Tl1 Tl 0.000 0.000 0.000
S1 S 0.201 0.222 0.850
S2 S 0.241 0.500 0.273
Cl1 Cl 0.000 0.000 0.500
```

***

(10)
First-principles (PBE-GGA) data for a relaxed structure of Tl4SCl5, as listed in Alexandria via LeMat-Bulk.

Summary:
The uncorrected formation energy is -654 meV/atom. Its total energy is -29.370 eV per formula unit. The value obtained for the total magnetization is 0.000 μB per cell.

CIF file:
```
data_Tl4SCl5
_cell_length_a 17.456
_cell_length_b 4.386
_cell_length_c 8.599
_cell_angle_alpha 90.00
_cell_angle_beta 104.53
_cell_angle_gamma 90.00
_symmetry_space_group_name_H-M 'C 1 2/m 1'
_symmetry_Int_Tables_number 12
loop_
_symmetry_equiv_pos_as_xyz
'x,y,z'
'-x,-y,-z'
'-x,y,-z'
'x,-y,z'
'x+1/2,y+1/2,z'
'-x+1/2,-y+1/2,-z'
'-x+1/2,y+1/2,-z'
'x+1/2,-y+1/2,z'
loop_
_atom_site_label
_atom_site_type_symbol
_atom_site_fract_x
_atom_site_fract_y
_atom_site_fract_z
Tl1 Tl 0.003 0.000 0.241
Tl2 Tl 0.161 0.500 0.604
S1 S 0.000 0.500 0.500
Cl1 Cl 0.000 0.500 0.000
Cl2 Cl 0.171 0.000 0.821
Cl3 Cl 0.181 0.000 0.351
```